Computed, not measured: LaMnW2 after structural relaxation at the PBE level of DFT.

Structure (extended XYZ):
```
4
Lattice="5.2577 0.0234 -0.1121 4.3661 2.9293 -0.1121 1.1118 0.3411 4.9024" Properties=species:S:1:pos:R:3 pbc="T T T"
W 5.0855 1.5603 2.6838
La 2.6839 0.8234 1.1695
Mn 8.0517 2.4703 3.5086
W 1.3941 0.4277 4.5576
```

- ΔE to the lowest computed polymorph (kJ/mol of atoms) = 24.4
- energy relative to the elements (eV per atom) = 0.654
- calculated volume (Å³ per cell) = 75.4